Record 1
## Cr3FeSi (PBE-GGA)

Data for a relaxed Cr3FeSi crystal.

Lattice parameters (Å, degrees): 4.2168 4.2168 4.2168 90.00 90.00 90.00
Element x y z (fractional)
Cr: 0.0000 0.0000 0.5000
Cr: 0.0000 0.5000 0.0000
Cr: 0.5000 0.0000 0.0000
Fe: 0.0000 0.0000 0.0000
Si: 0.5000 0.5000 0.5000

Computed properties:
Crystal system = cubic
Uncorrected formation energy = 1.05 eV per atom
Space group = Pm-3m (221)
Raw total energy = -7.498 eV per atom

=====

Record 2
## K2CrSbTe4 (PBE-GGA)

Data for a relaxed K2CrSbTe4 crystal.

Lattice parameters (Å, degrees): 9.0789 9.0789 9.0789 121.67 118.49 89.89
Element x y z (fractional)
K: 0.0000 0.0000 0.0000
K: 0.5000 0.0000 0.0000
K: 0.5000 0.0000 0.5000
K: 0.5000 0.5000 0.5000
Cr: 0.0000 0.0000 0.5000
Cr: 0.0000 0.5000 0.0000
Sb: 0.0000 0.5000 0.5000
Sb: 0.5000 0.5000 0.0000
Te: 0.1877 0.7412 0.4465
Te: 0.2054 0.2588 0.9465
Te: 0.2198 0.2381 0.5183
Te: 0.2198 0.7016 0.9817
Te: 0.7802 0.2984 0.0183
Te: 0.7802 0.7619 0.4817
Te: 0.7946 0.7412 0.0535
Te: 0.8123 0.2588 0.5535

Computed properties:
Crystal system = orthorhombic
Uncorrected formation energy = -0.47 eV per atom
Space group = Imma (74)
Raw total energy = -4.037 eV per atom

=====

Record 3
## La2MnCo3As4 (PBE-GGA)

Data for a relaxed La2MnCo3As4 crystal.

Lattice parameters (Å, degrees): 4.2080 4.2080 9.7737 90.00 90.00 90.00
Element x y z (fractional)
La: 0.0000 0.5000 0.2416
La: 0.5000 0.0000 0.7584
Mn: 0.0000 0.0000 0.5000
Co: 0.0000 0.5000 0.8883
Co: 0.5000 0.0000 0.1117
Co: 0.5000 0.5000 0.5000
As: 0.0000 0.0000 0.0000
As: 0.0000 0.5000 0.6400
As: 0.5000 0.0000 0.3600
As: 0.5000 0.5000 0.0000

Computed properties:
Calculated formation energy = -0.74 eV/atom
Crystal system = tetragonal
Space group = P-4m2 (115)
Raw total energy = -6.637 eV per atom

=====

Record 4
## MgFeCl2 (PBE-GGA)

Data for a relaxed MgFeCl2 crystal.

Lattice parameters (Å, degrees): 3.5046 3.9503 5.4958 90.00 93.07 90.00
Element x y z (fractional)
Mg: 0.0000 0.0000 0.0000
Fe: 0.5000 0.0000 0.5000
Cl: 0.2992 0.5000 0.2587
Cl: 0.7008 0.5000 0.7413

Computed properties:
Crystal system = monoclinic
Uncorrected formation energy = -0.26 eV per atom
Space group = P2/m (10)
Raw total energy = -3.699 eV per atom

=====

Record 5
## ZrAsHPd2 (PBE-GGA)

Data for a relaxed ZrAsHPd2 crystal.

Lattice parameters (Å, degrees): 4.6208 4.6208 5.1247 90.00 90.00 90.00
Element x y z (fractional)
Zr: 0.0000 0.0000 0.0000
As: 0.0000 0.0000 0.5000
H: 0.5000 0.5000 0.0000
Pd: 0.0000 0.5000 0.5000
Pd: 0.5000 0.0000 0.5000

Computed properties:
Crystal system = tetragonal
Space group = P4/mmm (123)
Raw total energy = -4.810 eV per atom

=====

Record 6
## Ba2SrAs2 (PBE-GGA)

Data for a relaxed Ba2SrAs2 crystal.

Lattice parameters (Å, degrees): 8.9045 8.9045 4.4551 90.00 90.00 90.00
Element x y z (fractional)
Ba: 0.1346 0.3654 0.0000
Ba: 0.3654 0.8654 0.0000
Ba: 0.6346 0.1346 0.0000
Ba: 0.8654 0.6346 0.0000
Sr: 0.0000 0.0000 0.5000
Sr: 0.5000 0.5000 0.5000
As: 0.1727 0.6727 0.5000
As: 0.3273 0.1727 0.5000
As: 0.6727 0.8273 0.5000
As: 0.8273 0.3273 0.5000

Computed properties:
Calculated formation energy = -0.98 eV/atom
Crystal system = tetragonal
Space group = P4/mbm (127)
Raw total energy = -3.947 eV per atom

=====

| no. | DOS(E_F) (states/eV/cell) |
| --- | --- |
| 1 | 4.46 |
| 2 | 1.85 |
| 3 | 6.61 |
| 4 | 2.16 |
| 5 | 4.53 |
| 6 | 0.17 |